No. 1
# Mn3BN

A relaxed Mn3BN crystal (PBE-GGA, Alexandria via LeMat-Bulk).

Output
formation energy without anion corrections	124.9	meV per atom

Lattice parameters (Å, degrees): 3.6498 3.6498 3.6498 90.00 90.00 90.00
Last column: nearest neighbours and their distance in Å.
Space group Pm-3m (No. 221)
One atom of each set of equivalent atoms:
Mn  0.0000  0.0000  0.5000 (multiplicity 3)  2 N 1.82
B  0.5000  0.5000  0.5000 (multiplicity 1)  12 Mn 2.58
N  0.0000  0.0000  0.0000 (multiplicity 1)  6 Mn 1.82



No. 2
# AcY4Se6

A relaxed AcY4Se6 crystal (PBE-GGA, Alexandria via LeMat-Bulk).

Output
formation energy without anion corrections	-1882.1	meV per atom

Lattice parameters (Å, degrees): 4.1300 13.4431 20.9420 90.00 90.00 90.00
Last column: nearest neighbours and their distance in Å.
Space group Cmcm (No. 63)
One atom of each set of equivalent atoms:
Ac  0.0000  0.1575  0.2500 (multiplicity 4)  6 Se 3.08-3.16
Y  0.0000  0.0936  0.6233 (multiplicity 8)  6 Se 2.86-2.89
Y  0.0000  0.3585  0.5374 (multiplicity 8)  6 Se 2.88-2.97
Se  0.0000  0.0000  0.0000 (multiplicity 4)  6 Y 2.87-2.91
Se  0.0000  0.1729  0.7500 (multiplicity 4)  2 Y 2.86, 2 Ac 3.08
Se  0.0000  0.2653  0.0911 (multiplicity 8)  5 Y 2.88-2.97
Se  0.0000  0.4550  0.6614 (multiplicity 8)  3 Y 2.89-2.90, 2 Ac 3.16



No. 3
# Mg4NiSb

A relaxed Mg4NiSb crystal (PBE-GGA, Alexandria via LeMat-Bulk).

Output
formation energy without anion corrections	-197.8	meV per atom

Lattice parameters (Å, degrees): 14.6581 7.1171 5.2066 90.00 110.56 90.00
Last column: nearest neighbours and their distance in Å.
Space group C2/m (No. 12)
One atom of each set of equivalent atoms:
Mg  0.0000  0.2096  0.0000 (multiplicity 4)  2 Ni 2.52
Mg  0.1230  0.2588  0.6217 (multiplicity 8)  2 Ni 2.67-2.68
Mg  0.1646  0.5000  0.1633 (multiplicity 4)  2 Ni 2.68
Ni  0.9997  0.5000  0.2763 (multiplicity 4)  1 Ni 2.33, 2 Mg 2.52
Sb  0.1869  0.0000  0.1937 (multiplicity 4)  8 Mg 2.97-3.32